VASP calculation (PBE-GGA) on LiCe2F6 after structural relaxation.

## Properties
Symmetry ... P2_1/c
Formation energy from raw total energies ... -3.52 eV/atom

Cell: 5.188 6.691 8.733 Å, 90.00 122.49 90.00°
Sites, in units of the cell vectors:
Li: 0.000 0.000 0.000
Li: 0.000 0.500 0.500
Ce: 0.275 0.108 0.730
Ce: 0.275 0.392 0.230
Ce: 0.725 0.608 0.770
Ce: 0.725 0.892 0.270
F: 0.138 0.046 0.255
F: 0.138 0.454 0.755
F: 0.218 0.720 0.068
F: 0.218 0.780 0.568
F: 0.366 0.145 0.046
F: 0.366 0.355 0.546
F: 0.634 0.645 0.454
F: 0.634 0.855 0.954
F: 0.782 0.220 0.432
F: 0.782 0.280 0.932
F: 0.862 0.546 0.245
F: 0.862 0.954 0.745